(1)
A plane-wave DFT calculation with PBE was carried out for a geometry-optimized Tl2HgO2 structure.

Lattice parameters (Å, degrees): 3.9593 3.9593 14.1837 90.00 90.00 90.00
Closest atoms and distances in Å follow each position.
Space group I4/mmm (No. 139)
One atom of each set of equivalent atoms:
Tl 0.0000 0.0000 0.1694 (multiplicity 4)  5 O 2.68-2.83
Hg 0.0000 0.0000 0.5000 (multiplicity 2)  2 O 2.01
O 0.0000 0.0000 0.3580 (multiplicity 4)  1 Hg 2.01

Summary:
V   222.3 Å³/cell
VASP energy   -0.2481 Ry per atom



(2)
A plane-wave DFT calculation with PBE was carried out for a geometry-optimized BiMo4PC2 structure.

Lattice parameters (Å, degrees): 3.2753 3.2753 12.5917 90.00 90.00 120.00
Closest atoms and distances in Å follow each position.
Space group P-6m2 (No. 187)
One atom of each set of equivalent atoms:
Bi 0.0000 0.0000 0.0000 (multiplicity 1)  6 Mo 3.18, 6 Bi 3.28
Mo 0.0000 0.0000 0.3716 (multiplicity 2)  3 C 2.29, 3 P 2.49
Mo 0.6667 0.3333 0.2026 (multiplicity 2)  3 C 2.07
P 0.6667 0.3333 0.5000 (multiplicity 1)  6 Mo 2.49
C 0.3333 0.6667 0.2696 (multiplicity 2)  6 Mo 2.07-2.29

Summary:
V   117.0 Å³/cell
VASP energy   -0.6548 Ry per atom



(3)
A plane-wave DFT calculation with PBE was carried out for a geometry-optimized ScNiSn structure.

Lattice parameters (Å, degrees): 6.6376 6.6376 4.3128 90.00 90.00 120.00
Closest atoms and distances in Å follow each position.
Space group P-62m (No. 189)
One atom of each set of equivalent atoms:
Sc 0.0000 0.5492 0.0000 (multiplicity 3)  5 Sn 2.90-2.99, 2 Ni 3.02
Ni 0.0000 0.2308 0.5000 (multiplicity 3)  4 Sn 2.62-2.65, 2 Ni 2.65
Sn 0.0000 0.0000 0.0000 (multiplicity 1)  6 Ni 2.65
Sn 0.3333 0.6667 0.5000 (multiplicity 2)  3 Ni 2.62, 6 Sc 2.90

Summary:
V   164.6 Å³/cell
VASP energy   -0.4307 Ry per atom



(4)
A plane-wave DFT calculation with PBE was carried out for a geometry-optimized Co structure.

Lattice parameters (Å, degrees): 2.4711 2.4711 28.0325 90.00 90.00 120.00
Closest atoms and distances in Å follow each position.
Space group P-3m1 (No. 164)
One atom of each set of equivalent atoms:
Co 0.3333 0.6667 0.1069 (multiplicity 2)  12 Co 2.45-2.49
Co 0.3333 0.6667 0.2499 (multiplicity 2)  9 Co 2.43-2.47
Co 0.3333 0.6667 0.8201 (multiplicity 2)  12 Co 2.43-2.49
Co 0.3333 0.6667 0.9640 (multiplicity 2)  12 Co 2.45-2.47

Summary:
ΔE_f   0.177 eV per atom
E above lowest polymorph   17.0 kJ per mole of atoms
V   148.2 Å³/cell
VASP energy   -0.5093 Ry per atom



(5)
A plane-wave DFT calculation with PBE was carried out for a geometry-optimized CuTcBiPt structure.

Lattice parameters (Å, degrees): 6.6161 6.6161 6.6161 90.00 90.00 90.00
Closest atoms and distances in Å follow each position.
Space group F-43m (No. 216)
One atom of each set of equivalent atoms:
Cu 0.0000 0.0000 0.0000 (multiplicity 4)  4 Tc 2.86, 4 Bi 2.86
Tc 0.2500 0.2500 0.7500 (multiplicity 4)  4 Cu 2.86, 4 Pt 2.86
Bi 0.2500 0.2500 0.2500 (multiplicity 4)  4 Cu 2.86, 4 Pt 2.86
Pt 0.0000 0.0000 0.5000 (multiplicity 4)  4 Bi 2.86, 4 Tc 2.86

Summary:
E above lowest polymorph   11.4 kJ per mole of atoms
V   289.6 Å³/cell
VASP energy   -0.4110 Ry per atom



(6)
A plane-wave DFT calculation with PBE was carried out for a geometry-optimized CsDyGaSe3 structure.

Lattice parameters (Å, degrees): 4.5772 15.6581 10.9650 90.00 90.00 90.00
Closest atoms and distances in Å follow each position.
Space group Cmcm (No. 63)
One atom of each set of equivalent atoms:
Cs 0.0000 0.2458 0.2500 (multiplicity 4)  8 Se 3.76-3.99, 1 Ga 4.13
Dy 0.0000 0.5000 0.0000 (multiplicity 4)  6 Se 2.87-2.97
Ga 0.0000 0.0179 0.7500 (multiplicity 4)  4 Se 2.55-2.56
Se 0.0000 0.1131 0.5611 (multiplicity 8)  1 Ga 2.55
Se 0.0000 0.4447 0.7500 (multiplicity 4)  2 Ga 2.56

Summary:
V   785.9 Å³/cell
VASP energy   -0.3243 Ry per atom



(7)
A plane-wave DFT calculation with PBE was carried out for a geometry-optimized LuZnCdFe structure.

Lattice parameters (Å, degrees): 6.6504 6.6504 6.6504 90.00 90.00 90.00
Closest atoms and distances in Å follow each position.
Space group F-43m (No. 216)
One atom of each set of equivalent atoms:
Lu 0.0000 0.0000 0.0000 (multiplicity 4)  4 Fe 2.88, 4 Cd 2.88
Zn 0.0000 0.0000 0.5000 (multiplicity 4)  4 Cd 2.88, 4 Fe 2.88
Cd 0.2500 0.2500 0.2500 (multiplicity 4)  4 Zn 2.88, 4 Lu 2.88
Fe 0.2500 0.2500 0.7500 (multiplicity 4)  4 Zn 2.88, 4 Lu 2.88

Summary:
ΔE_f   0.134 eV per atom
E above lowest polymorph   7.5 kJ per mole of atoms
V   294.1 Å³/cell
VASP energy   -0.2656 Ry per atom



(8)
A plane-wave DFT calculation with PBE was carried out for a geometry-optimized Sn5Pd3Au structure.

Lattice parameters (Å, degrees): 5.5715 5.5715 7.5429 90.00 90.00 120.00
Closest atoms and distances in Å follow each position.
Space group P6/mmm (No. 191)
One atom of each set of equivalent atoms:
Sn 0.0000 0.0000 0.0000 (multiplicity 1)  6 Pd 2.79
Sn 0.3333 0.6667 0.3055 (multiplicity 4)  3 Pd 2.81, 1 Sn 2.93
Pd 0.0000 0.5000 0.0000 (multiplicity 3)  4 Pd 2.79, 6 Sn 2.79-2.81
Au 0.0000 0.0000 0.5000 (multiplicity 1)  14 Sn 3.54-3.77

Summary:
V   202.8 Å³/cell
VASP energy   -0.3320 Ry per atom



(9)
A plane-wave DFT calculation with PBE was carried out for a geometry-optimized KZr2O4 structure.

Lattice parameters (Å, degrees): 9.4932 9.4932 9.4932 90.00 90.00 90.00
Closest atoms and distances in Å follow each position.
Space group Fd-3m (No. 227, origin choice 2)
One atom of each set of equivalent atoms:
K 0.1250 0.1250 0.1250 (multiplicity 8)  4 O 2.43
Zr 0.0000 0.0000 0.5000 (multiplicity 16)  6 O 2.18
O 0.0226 0.0226 0.7274 (multiplicity 32)  3 Zr 2.18, 1 K 2.43

Summary:
V   855.5 Å³/cell
VASP energy   -0.6009 Ry per atom



(10)
A plane-wave DFT calculation with PBE was carried out for a geometry-optimized DyAgTeO structure.

Lattice parameters (Å, degrees): 7.7793 6.3615 6.2204 90.00 91.66 90.00
Closest atoms and distances in Å follow each position.
Space group P2_1/c (No. 14)
One atom of each set of equivalent atoms:
Dy 0.0927 0.0001 0.2520 (multiplicity 4)  4 O 2.25-2.45
Ag 0.4242 0.2166 0.0050 (multiplicity 4)  4 Te 2.71-2.88, 1 Ag 3.00
Te 0.3063 0.5679 0.2124 (multiplicity 4)  4 Ag 2.71-2.88
O 0.0212 0.2404 0.9992 (multiplicity 4)  4 Dy 2.25-2.45

Summary:
V   307.7 Å³/cell
VASP energy   -0.4041 Ry per atom



(11)
A plane-wave DFT calculation with PBE was carried out for a geometry-optimized Hf2FeOs structure.

Lattice parameters (Å, degrees): 6.3580 6.3580 6.3580 90.00 90.00 90.00
Closest atoms and distances in Å follow each position.
Space group F-43m (No. 216)
One atom of each set of equivalent atoms:
Hf 0.0000 0.0000 0.0000 (multiplicity 4)  4 Fe 2.75, 4 Hf 2.75
Hf 0.2500 0.2500 0.2500 (multiplicity 4)  4 Hf 2.75, 4 Os 2.75
Fe 0.2500 0.2500 0.7500 (multiplicity 4)  4 Os 2.75, 4 Hf 2.75
Os 0.0000 0.0000 0.5000 (multiplicity 4)  4 Hf 2.75, 4 Fe 2.75

Summary:
ΔE_f   -0.041 eV per atom
E above lowest polymorph   46.6 kJ per mole of atoms
V   257.0 Å³/cell
VASP energy   -0.7278 Ry per atom



(12)
A plane-wave DFT calculation with PBE was carried out for a geometry-optimized Li3Pd2O6 structure.

Lattice parameters (Å, degrees): 5.0681 8.9809 5.0115 90.00 109.13 90.00
Closest atoms and distances in Å follow each position.
Space group C2/m (No. 12)
One atom of each set of equivalent atoms:
Li 0.0000 0.0000 0.0000 (multiplicity 2)  6 O 2.03-2.13
Li 0.0000 0.1599 0.5000 (multiplicity 4)  6 O 2.10-2.11
Pd 0.0000 0.3378 0.0000 (multiplicity 4)  6 O 2.00-2.01
O 0.2404 0.5000 0.2343 (multiplicity 4)  2 Pd 2.01, 3 Li 2.03-2.10
O 0.2459 0.1790 0.2332 (multiplicity 8)  2 Pd 2.00-2.01, 3 Li 2.10-2.13

Summary:
E above lowest polymorph   0.0 kJ per mole of atoms
V   215.5 Å³/cell
VASP energy   -0.3801 Ry per atom



(13)
A plane-wave DFT calculation with PBE was carried out for a geometry-optimized GdDyI2N structure.

Lattice parameters (Å, degrees): 3.7909 3.7909 10.8583 90.00 90.00 120.00
Closest atoms and distances in Å follow each position.
Space group P3m1 (No. 156)
One atom of each set of equivalent atoms:
Gd 0.0000 0.0000 0.0000 (multiplicity 1)  3 N 2.55
Dy 0.3333 0.6667 0.2347 (multiplicity 1)  3 N 2.51
I 0.0000 0.0000 0.4333 (multiplicity 1)  3 Dy 3.07
I 0.3333 0.6667 0.7987 (multiplicity 1)  3 Gd 3.09
N 0.6667 0.3333 0.1213 (multiplicity 1)  3 Dy 2.51, 3 Gd 2.55

Summary:
V   135.1 Å³/cell
VASP energy   -0.4054 Ry per atom



(14)
A plane-wave DFT calculation with PBE was carried out for a geometry-optimized TmAsAu structure.

Lattice parameters (Å, degrees): 6.5534 6.5534 6.5534 90.00 90.00 90.00
Closest atoms and distances in Å follow each position.
Space group F-43m (No. 216)
One atom of each set of equivalent atoms:
Tm 0.0000 0.0000 0.0000 (multiplicity 4)  4 Au 2.84
As 0.0000 0.0000 0.5000 (multiplicity 4)  4 Au 2.84
Au 0.2500 0.2500 0.7500 (multiplicity 4)  4 As 2.84, 4 Tm 2.84

Summary:
V   281.4 Å³/cell
VASP energy   -0.3512 Ry per atom



(15)
A plane-wave DFT calculation with PBE was carried out for a geometry-optimized Ag2H2IBrO2 structure.

Lattice parameters (Å, degrees): 3.7947 3.7947 10.9072 90.00 90.00 120.00
Closest atoms and distances in Å follow each position.
Space group P3m1 (No. 156)
One atom of each set of equivalent atoms:
Ag 0.0000 0.0000 0.0000 (multiplicity 1)  3 O 2.35
Ag 0.3333 0.6667 0.4726 (multiplicity 1)  3 O 2.32
H 0.6667 0.3333 0.3117 (multiplicity 1)  1 O 0.98
H 0.6667 0.3333 0.8331 (multiplicity 1)  1 O 0.98
I 0.0000 0.0000 0.6524 (multiplicity 1)  3 Ag 2.94, 3 H 2.95
Br 0.3333 0.6667 0.1558 (multiplicity 1)  3 Ag 2.77, 3 H 2.77
O 0.6667 0.3333 0.4019 (multiplicity 1)  1 H 0.98
O 0.6667 0.3333 0.9232 (multiplicity 1)  1 H 0.98

Summary:
V   136.0 Å³/cell
VASP energy   -0.2591 Ry per atom



(16)
A plane-wave DFT calculation with PBE was carried out for a geometry-optimized DyB4Mo structure.

Lattice parameters (Å, degrees): 3.1302 3.1302 7.1391 90.00 90.00 120.00
Closest atoms and distances in Å follow each position.
Space group P6/mmm (No. 191)
One atom of each set of equivalent atoms:
Dy 0.0000 0.0000 0.0000 (multiplicity 1)  12 B 2.66
B 0.3333 0.6667 0.2742 (multiplicity 4)  3 B 1.81
Mo 0.0000 0.0000 0.5000 (multiplicity 1)  12 B 2.42

Summary:
E above lowest polymorph   9.9 kJ per mole of atoms
V   60.6 Å³/cell
VASP energy   -0.5551 Ry per atom



(17)
A plane-wave DFT calculation with PBE was carried out for a geometry-optimized ZrUZn structure.

Lattice parameters (Å, degrees): 6.6933 6.6933 6.6933 90.00 90.00 90.00
Closest atoms and distances in Å follow each position.
Space group F-43m (No. 216)
One atom of each set of equivalent atoms:
Zr 0.0000 0.0000 0.0000 (multiplicity 4)  4 U 2.90
U 0.2500 0.2500 0.7500 (multiplicity 4)  4 Zr 2.90, 4 Zn 2.90
Zn 0.0000 0.0000 0.5000 (multiplicity 4)  4 U 2.90

Summary:
ΔE_f   1.115 eV per atom
E above lowest polymorph   42.0 kJ per mole of atoms
V   299.9 Å³/cell
VASP energy   -0.4352 Ry per atom



(18)
A plane-wave DFT calculation with PBE was carried out for a geometry-optimized ZnS structure.

Lattice parameters (Å, degrees): 3.8358 3.8358 87.7443 90.00 90.00 120.00
Closest atoms and distances in Å follow each position.
Space group P3m1 (No. 156)
One atom of each set of equivalent atoms:
Zn 0.0000 0.0000 0.0000 (multiplicity 1)  4 S 2.35
Zn 0.0000 0.0000 0.1071 (multiplicity 1)  4 S 2.35
Zn 0.0000 0.0000 0.2143 (multiplicity 1)  4 S 2.35
Zn 0.0000 0.0000 0.3214 (multiplicity 1)  4 S 2.35
Zn 0.0000 0.0000 0.4286 (multiplicity 1)  4 S 2.35
Zn 0.0000 0.0000 0.5000 (multiplicity 1)  4 S 2.35
Zn 0.0000 0.0000 0.6071 (multiplicity 1)  4 S 2.35
Zn 0.0000 0.0000 0.6786 (multiplicity 1)  4 S 2.35
Zn 0.0000 0.0000 0.7857 (multiplicity 1)  4 S 2.35
Zn 0.0000 0.0000 0.8929 (multiplicity 1)  4 S 2.35
Zn 0.3333 0.6667 0.0357 (multiplicity 1)  4 S 2.35
Zn 0.3333 0.6667 0.1429 (multiplicity 1)  4 S 2.35
Zn 0.3333 0.6667 0.2500 (multiplicity 1)  4 S 2.35
Zn 0.3333 0.6667 0.3571 (multiplicity 1)  4 S 2.35
Zn 0.3333 0.6667 0.4643 (multiplicity 1)  4 S 2.35
Zn 0.3333 0.6667 0.5714 (multiplicity 1)  4 S 2.35
Zn 0.3333 0.6667 0.7143 (multiplicity 1)  4 S 2.35
Zn 0.3333 0.6667 0.8214 (multiplicity 1)  4 S 2.35
Zn 0.3333 0.6667 0.9286 (multiplicity 1)  4 S 2.35
Zn 0.6667 0.3333 0.0714 (multiplicity 1)  4 S 2.35
Zn 0.6667 0.3333 0.1786 (multiplicity 1)  4 S 2.35
Zn 0.6667 0.3333 0.2857 (multiplicity 1)  4 S 2.35
Zn 0.6667 0.3333 0.3929 (multiplicity 1)  4 S 2.35
Zn 0.6667 0.3333 0.5357 (multiplicity 1)  4 S 2.35
Zn 0.6667 0.3333 0.6429 (multiplicity 1)  4 S 2.35
Zn 0.6667 0.3333 0.7500 (multiplicity 1)  4 S 2.35
Zn 0.6667 0.3333 0.8571 (multiplicity 1)  4 S 2.35
Zn 0.6667 0.3333 0.9643 (multiplicity 1)  4 S 2.35
S 0.0000 0.0000 0.0268 (multiplicity 1)  4 Zn 2.35
S 0.0000 0.0000 0.1339 (multiplicity 1)  4 Zn 2.35
S 0.0000 0.0000 0.2411 (multiplicity 1)  4 Zn 2.35
S 0.0000 0.0000 0.3482 (multiplicity 1)  4 Zn 2.35
S 0.0000 0.0000 0.4553 (multiplicity 1)  4 Zn 2.35
S 0.0000 0.0000 0.5268 (multiplicity 1)  4 Zn 2.35
S 0.0000 0.0000 0.6339 (multiplicity 1)  4 Zn 2.35
S 0.0000 0.0000 0.7054 (multiplicity 1)  4 Zn 2.35
S 0.0000 0.0000 0.8125 (multiplicity 1)  4 Zn 2.35
S 0.0000 0.0000 0.9196 (multiplicity 1)  4 Zn 2.35
S 0.3333 0.6667 0.0625 (multiplicity 1)  4 Zn 2.35
S 0.3333 0.6667 0.1696 (multiplicity 1)  4 Zn 2.35
S 0.3333 0.6667 0.2768 (multiplicity 1)  4 Zn 2.35
S 0.3333 0.6667 0.3839 (multiplicity 1)  4 Zn 2.35
S 0.3333 0.6667 0.4911 (multiplicity 1)  4 Zn 2.35
S 0.3333 0.6667 0.5982 (multiplicity 1)  4 Zn 2.35
S 0.3333 0.6667 0.7411 (multiplicity 1)  4 Zn 2.35
S 0.3333 0.6667 0.8482 (multiplicity 1)  4 Zn 2.35
S 0.3333 0.6667 0.9554 (multiplicity 1)  4 Zn 2.35
S 0.6667 0.3333 0.0982 (multiplicity 1)  4 Zn 2.35
S 0.6667 0.3333 0.2054 (multiplicity 1)  4 Zn 2.35
S 0.6667 0.3333 0.3125 (multiplicity 1)  4 Zn 2.35
S 0.6667 0.3333 0.4196 (multiplicity 1)  4 Zn 2.35
S 0.6667 0.3333 0.5625 (multiplicity 1)  4 Zn 2.35
S 0.6667 0.3333 0.6697 (multiplicity 1)  4 Zn 2.35
S 0.6667 0.3333 0.7768 (multiplicity 1)  4 Zn 2.35
S 0.6667 0.3333 0.8839 (multiplicity 1)  4 Zn 2.35
S 0.6667 0.3333 0.9911 (multiplicity 1)  4 Zn 2.35

Summary:
V   1118.0 Å³/cell
VASP energy   -0.2578 Ry per atom



(19)
A plane-wave DFT calculation with PBE was carried out for a geometry-optimized Tb2O3 structure.

Lattice parameters (Å, degrees): 9.3285 3.6208 11.0729 90.00 122.42 90.00
Closest atoms and distances in Å follow each position.
Space group P2_1/c (No. 14)
One atom of each set of equivalent atoms:
Tb 0.0855 0.2472 0.4128 (multiplicity 4)  6 O 2.24-2.34
Tb 0.3641 0.7464 0.2830 (multiplicity 4)  4 O 2.14-2.25
O 0.1373 0.7482 0.5620 (multiplicity 4)  4 Tb 2.22-2.32
O 0.1438 0.7453 0.3130 (multiplicity 4)  4 Tb 2.25-2.34
O 0.4907 0.7460 0.1408 (multiplicity 4)  2 Tb 2.14-2.15

Summary:
V   315.7 Å³/cell
VASP energy   -0.6049 Ry per atom



(20)
A plane-wave DFT calculation with PBE was carried out for a geometry-optimized RbPr2OsO6 structure.

Lattice parameters (Å, degrees): 5.6941 6.3420 10.2468 90.00 122.79 90.00
Closest atoms and distances in Å follow each position.
Space group P2_1/c (No. 14)
One atom of each set of equivalent atoms:
Rb 0.0000 0.0000 0.0000 (multiplicity 2)  2 O 2.53
Pr 0.2138 0.0236 0.7215 (multiplicity 4)  6 O 2.36-2.50
Os 0.5000 0.0000 0.5000 (multiplicity 2)  6 O 1.96-2.01
O 0.1833 0.1431 0.4866 (multiplicity 4)  1 Os 1.96
O 0.2253 0.7233 0.8631 (multiplicity 4)  1 Os 2.01
O 0.4499 0.1487 0.3144 (multiplicity 4)  1 Os 2.00

Summary:
V   311.1 Å³/cell
VASP energy   -0.5399 Ry per atom